Material: HSe
Method: DFT, PBE-GGA
State: optimized geometry

Unit cell a=3.069 b=3.069 c=8.070 alpha=90.00 beta=90.00 gamma=120.00
Fractional positions:
H 0.333 0.667 0.000
H 0.667 0.333 0.500
Se 0.333 0.667 0.416
Se 0.667 0.333 0.916

Output
electronic total energy = -2.8268 eV/atom
volume = 16.5 Å³ per atom
polymorph energy (0 for the lowest one) = 570.5 meV/atom
calculated density = 4.04 g cm⁻³

Material: H5Se
Method: DFT, PBE-GGA
State: optimized geometry

Unit cell a=5.567 b=5.567 c=2.671 alpha=90.07 beta=90.07 gamma=63.52
Fractional positions:
H 0.000 0.000 0.000
H 0.056 0.056 0.199
H 0.504 0.504 0.648
H 0.686 0.686 0.097
H 0.736 0.736 0.315
Se 0.347 0.347 0.654

Output
electronic total energy = -3.3340 eV/atom
volume = 12.3 Å³ per atom
calculated density = 1.88 g cm⁻³

Material: HSe
Method: DFT, PBE-GGA
State: optimized geometry

Unit cell a=5.772 b=5.772 c=5.772 alpha=90.00 beta=90.00 gamma=90.00
Fractional positions:
H 0.000 0.250 0.500
H 0.000 0.750 0.500
H 0.250 0.500 0.000
H 0.500 0.000 0.250
H 0.500 0.000 0.750
H 0.750 0.500 0.000
Se 0.000 0.500 0.250
Se 0.000 0.500 0.750
Se 0.250 0.000 0.500
Se 0.500 0.250 0.000
Se 0.500 0.750 0.000
Se 0.750 0.000 0.500

Output
electronic total energy = -2.6827 eV/atom
volume = 16.0 Å³ per atom
polymorph energy (0 for the lowest one) = 714.6 meV/atom
calculated density = 4.14 g cm⁻³

Material: HSe
Method: DFT, PBE-GGA
State: optimized geometry

Unit cell a=3.217 b=3.217 c=3.217 alpha=60.00 beta=60.00 gamma=60.00
Fractional positions:
H 0.000 0.000 0.000
Se 0.500 0.500 0.500

Output
electronic total energy = -2.4300 eV/atom
volume = 11.8 Å³ per atom
polymorph energy (0 for the lowest one) = 967.3 meV/atom
calculated density = 5.64 g cm⁻³

Material: HSe
Method: DFT, PBE-GGA
State: optimized geometry

Unit cell a=8.809 b=8.809 c=3.282 alpha=90.00 beta=90.00 gamma=90.00
Fractional positions:
H 0.048 0.236 0.000
H 0.236 0.952 0.000
H 0.289 0.580 0.500
H 0.420 0.289 0.500
H 0.580 0.711 0.500
H 0.711 0.420 0.500
H 0.764 0.048 0.000
H 0.952 0.764 0.000
Se 0.022 0.767 0.500
Se 0.213 0.578 0.000
Se 0.233 0.022 0.500
Se 0.422 0.213 0.000
Se 0.578 0.787 0.000
Se 0.767 0.978 0.500
Se 0.787 0.422 0.000
Se 0.978 0.233 0.500

Output
electronic total energy = -3.0080 eV/atom
volume = 15.9 Å³ per atom
polymorph energy (0 for the lowest one) = 389.3 meV/atom
calculated density = 4.17 g cm⁻³

Material: HSe
Method: DFT, PBE-GGA
State: optimized geometry

Unit cell a=4.317 b=4.425 c=5.237 alpha=108.58 beta=94.85 gamma=114.14
Fractional positions:
H 0.000 0.000 0.000
H 0.387 0.819 0.354
Se 0.571 0.592 0.306
Se 0.697 0.628 0.868

Output
electronic total energy = -3.3768 eV/atom
volume = 21.0 Å³ per atom
polymorph energy (0 for the lowest one) = 20.5 meV/atom
calculated density = 3.17 g cm⁻³